First-principles (PBE) data for Ga2TcIr after structural relaxation, as listed in the Alexandria database.

The structure belongs to space group Fm-3m (No. 225); the cell edges are 6.116, 6.116 and 6.116 Å and the angles 90.00°, 90.00° and 90.00°. Symmetry generates all atoms from Ga at (0.250, 0.250, 0.250), Tc at (0.000, 0.000, 0.000) and Ir at (0.000, 0.000, 0.500).

The density of states at the Fermi level is 1.065 states/eV/atom. The formation energy is -223 meV per atom. The energy relative to the lowest polymorph listed for this composition is 0.013 eV per atom.